(1)
{
  "formula": "Na2CdH4Se2O10",
  "functional": "PBE",
  "state": "relaxed",
  "dft_energy_ev_per_atom": -4.9826,
  "magmom_total_mub_per_fu": 0.0,
  "cell": [[6.0699, 0.0000, 0.0000], [0.0000, 13.5308, 0.0000], [-1.6304, 0.0000, 5.7370]],
  "species": ["Na", "Na", "Na", "Na", "Cd", "Cd", "H", "H", "H", "H", "H", "H", "H", "H", "Se", "Se", "Se", "Se", "O", "O", "O", "O", "O", "O", "O", "O", "O", "O", "O", "O", "O", "O", "O", "O", "O", "O", "O", "O"],
  "frac_coords": [[0.0901, 0.1246, 0.2535], [0.0901, 0.3754, 0.7535], [0.9099, 0.6246, 0.2465], [0.9099, 0.8754, 0.7465], [0.5000, 0.0000, 0.0000], [0.5000, 0.5000, 0.5000], [0.1815, 0.1586, 0.8232], [0.1815, 0.3414, 0.3232], [0.3998, 0.2075, 0.9978], [0.3998, 0.2925, 0.4978], [0.6002, 0.7075, 0.5022], [0.6002, 0.7925, 0.0022], [0.8185, 0.6586, 0.6768], [0.8185, 0.8414, 0.1768], [0.2642, 0.6194, 0.9327], [0.2642, 0.8806, 0.4327], [0.7358, 0.1194, 0.5673], [0.7358, 0.3806, 0.0673], [0.0471, 0.6999, 0.8933], [0.0471, 0.8001, 0.3933], [0.2218, 0.5479, 0.6929], [0.2218, 0.9521, 0.1929], [0.2410, 0.5477, 0.1571], [0.2410, 0.9523, 0.6571], [0.3029, 0.1466, 0.9725], [0.3029, 0.3534, 0.4725], [0.4804, 0.1734, 0.5081], [0.4804, 0.3266, 0.0081], [0.5196, 0.6734, 0.9919], [0.5196, 0.8266, 0.4919], [0.6971, 0.6466, 0.5275], [0.6971, 0.8534, 0.0275], [0.7590, 0.0477, 0.3429], [0.7590, 0.4523, 0.8429], [0.7782, 0.0479, 0.8071], [0.7782, 0.4521, 0.3071], [0.9529, 0.1999, 0.6067], [0.9529, 0.3001, 0.1067]]
}

(2)
{
  "formula": "Na2CdH6Os",
  "functional": "PBE",
  "state": "relaxed",
  "dft_energy_ev_per_atom": -3.6707,
  "magmom_total_mub_per_fu": 0.0,
  "cell": [[5.3399, 0.0000, 0.0000], [-2.6700, 4.6245, 0.0000], [0.0000, 0.0000, 5.2856]],
  "species": ["Na", "Na", "Cd", "H", "H", "H", "H", "H", "H", "Os"],
  "frac_coords": [[0.3333, 0.6667, 0.3623], [0.6667, 0.3333, 0.6377], [0.0000, 0.0000, 0.0000], [0.1583, 0.3166, 0.6713], [0.1583, 0.8417, 0.6713], [0.3166, 0.1583, 0.3287], [0.6834, 0.8417, 0.6713], [0.8417, 0.1583, 0.3287], [0.8417, 0.6834, 0.3287], [0.0000, 0.0000, 0.5000]]
}

(3)
{
  "formula": "NaCd2HPb",
  "functional": "PBE",
  "state": "relaxed",
  "dft_energy_ev_per_atom": -1.9588,
  "magmom_total_mub_per_fu": 0.0,
  "cell": [[4.8308, 0.0000, 0.0000], [0.0000, 4.8308, 0.0000], [0.0000, 0.0000, 4.4567]],
  "species": ["Na", "Cd", "Cd", "H", "Pb"],
  "frac_coords": [[0.0000, 0.0000, 0.0000], [0.0000, 0.5000, 0.5000], [0.5000, 0.0000, 0.5000], [0.0000, 0.0000, 0.5000], [0.5000, 0.5000, 0.0000]]
}

(4)
{
  "formula": "Na3CdH6Pd2",
  "functional": "PBE",
  "state": "relaxed",
  "dft_energy_ev_per_atom": -3.0007,
  "magmom_total_mub_per_fu": 0.0,
  "cell": [[5.2543, 0.0000, 0.0000], [-2.6271, 4.5503, 0.0000], [0.0000, 0.0000, 6.1670]],
  "species": ["Na", "Na", "Na", "Cd", "H", "H", "H", "H", "H", "H", "Pd", "Pd"],
  "frac_coords": [[0.0000, 0.0000, 0.0000], [0.3333, 0.6667, 0.6686], [0.6667, 0.3333, 0.3314], [0.0000, 0.0000, 0.5000], [0.1753, 0.3507, 0.2990], [0.1753, 0.8247, 0.2990], [0.3507, 0.1753, 0.7010], [0.6493, 0.8247, 0.2990], [0.8247, 0.1753, 0.7010], [0.8247, 0.6493, 0.7010], [0.3333, 0.6667, 0.1505], [0.6667, 0.3333, 0.8495]]
}

(5)
{
  "formula": "NaCdHPt2",
  "functional": "PBE",
  "state": "relaxed",
  "dft_energy_ev_per_atom": -3.7668,
  "e_above_lowest_polymorph_ev_per_fu": 0.000,
  "magmom_total_mub_per_fu": 0.0,
  "cell": [[4.0664, 0.0000, 0.0000], [0.0000, 4.0664, 0.0000], [0.0000, 0.0000, 4.3103]],
  "species": ["Na", "Cd", "H", "Pt", "Pt"],
  "frac_coords": [[0.0000, 0.0000, 0.0000], [0.5000, 0.5000, 0.0000], [0.0000, 0.0000, 0.5000], [0.0000, 0.5000, 0.5000], [0.5000, 0.0000, 0.5000]]
}

(6)
{
  "formula": "NaCdHPt2",
  "functional": "PBE",
  "state": "relaxed",
  "dft_energy_ev_per_atom": -3.6292,
  "e_above_lowest_polymorph_ev_per_fu": 0.688,
  "magmom_total_mub_per_fu": 0.0,
  "cell": [[4.0698, 0.0000, 0.0000], [0.0000, 4.0698, 0.0000], [0.0000, 0.0000, 4.3961]],
  "species": ["Na", "Cd", "H", "Pt", "Pt"],
  "frac_coords": [[0.0000, 0.0000, 0.0000], [0.5000, 0.5000, 0.0000], [0.5000, 0.5000, 0.5000], [0.0000, 0.5000, 0.5000], [0.5000, 0.0000, 0.5000]]
}

(7)
{
  "formula": "NaCdH6Pt",
  "functional": "PBE",
  "state": "relaxed",
  "dft_energy_ev_per_atom": -3.2221,
  "magmom_total_mub_per_fu": 0.0,
  "cell": [[5.0701, 0.0000, 0.0000], [-2.5350, 4.3908, 0.0000], [0.0000, 0.0000, 4.5833]],
  "species": ["Na", "Cd", "H", "H", "H", "H", "H", "H", "Pt"],
  "frac_coords": [[0.0000, 0.0000, 0.0000], [0.6667, 0.3333, 0.5000], [0.0595, 0.4230, 0.2274], [0.0595, 0.6365, 0.7726], [0.3635, 0.4230, 0.7726], [0.3635, 0.9405, 0.2274], [0.5770, 0.6365, 0.2274], [0.5770, 0.9405, 0.7726], [0.3333, 0.6667, 0.0000]]
}

(8)
{
  "formula": "Rb4Na3CdH8",
  "functional": "PBE",
  "state": "relaxed",
  "dft_energy_ev_per_atom": -2.2318,
  "magmom_total_mub_per_fu": 0.0,
  "cell": [[6.6276, -3.7375, 0.0000], [6.6276, 3.7375, 0.0000], [-4.3433, 0.0000, 6.2774]],
  "species": ["Rb", "Rb", "Rb", "Rb", "Na", "Na", "Na", "Cd", "H", "H", "H", "H", "H", "H", "H", "H"],
  "frac_coords": [[0.0000, 0.0000, 0.0000], [0.0000, 0.5000, 0.0000], [0.5000, 0.0000, 0.0000], [0.5000, 0.5000, 0.0000], [0.0000, 0.0000, 0.5000], [0.0000, 0.5000, 0.5000], [0.5000, 0.0000, 0.5000], [0.5000, 0.5000, 0.5000], [0.2373, 0.2373, 0.7041], [0.2507, 0.7270, 0.6970], [0.2657, 0.2657, 0.2970], [0.2730, 0.7493, 0.3030], [0.7270, 0.2507, 0.6970], [0.7343, 0.7343, 0.7030], [0.7493, 0.2730, 0.3030], [0.7627, 0.7627, 0.2959]]
}